# 1
Material: AgHg6Pd8
Method: DFT, GGA-PBE
State: optimized geometry

Cell: 3.0044 10.6261 10.6261 Å, 120.00 90.00 90.00°
With the nearest neighbours (Å) after each atom.
Positions (direct):
Ag 0.5000 0.0000 0.0000  2 Ag 3.00, 12 Pd 3.08
Hg 0.5004 0.5501 0.6616  6 Pd 2.77-2.85, 3 Hg 3.00-3.04
Hg 0.5004 0.3384 0.8885  6 Pd 2.77-2.85, 3 Hg 3.00-3.04
Hg 0.5004 0.1115 0.4499  6 Pd 2.77-2.85, 3 Hg 3.00-3.04
Hg 0.4996 0.4499 0.3384  6 Pd 2.77-2.85, 3 Hg 3.00-3.04
Hg 0.4996 0.6616 0.1115  6 Pd 2.77-2.85, 3 Hg 3.00-3.04
Hg 0.4996 0.8885 0.5501  6 Pd 2.77-2.85, 3 Hg 3.00-3.04
Pd 0.0001 0.7167 0.9212  4 Pd 2.69-3.00, 4 Hg 2.80-2.85
Pd 0.0001 0.0788 0.7955  4 Pd 2.69-3.00, 4 Hg 2.80-2.85
Pd 0.0001 0.2045 0.2833  4 Pd 2.69-3.00, 4 Hg 2.80-2.85
Pd 0.9999 0.2833 0.0788  4 Pd 2.69-3.00, 4 Hg 2.80-2.85
Pd 0.9999 0.9212 0.2045  4 Pd 2.69-3.00, 4 Hg 2.80-2.85
Pd 0.9999 0.7955 0.7167  4 Pd 2.69-3.00, 4 Hg 2.80-2.85
Pd 0.9994 0.6667 0.3333  6 Hg 2.77, 2 Pd 3.00
Pd 0.0006 0.3333 0.6667  6 Hg 2.77, 2 Pd 3.00

SG = No. 175
Formation enthalpy at 0 K = 0.235 eV/f.u.
Total moment = 0.000 μB per atom


# 2
Material: Be2PbO
Method: DFT, GGA-PBE
State: optimized geometry

Cell: 5.1048 5.1048 5.5592 Å, 62.67 62.67 90.00°
With the nearest neighbours (Å) after each atom.
Positions (direct):
Pb 0.0000 0.0000 0.0000  4 Be 2.70
Pb 0.7500 0.2500 0.5000  4 Be 2.70
Be 0.4578 0.1250 0.2500  2 O 1.71
Be 0.2922 0.6250 0.2500  2 O 1.71
Be 0.3750 0.5422 0.7500  2 O 1.71
Be 0.8750 0.7078 0.7500  2 O 1.71
O 0.5000 0.5000 0.0000  4 Be 1.71
O 0.2500 0.7500 0.5000  4 Be 1.71

Offset from the most stable computed form = 0.0000 eV/atom
Formation energy from raw total energies = -0.640 eV/atom
SG = No. 122
Total moment = 0.000 μB per atom


# 3
Material: InAg4Pt
Method: DFT, GGA-PBE
State: optimized geometry

Cell: 5.4489 5.4489 5.4489 Å, 60.00 60.00 60.00°
With the nearest neighbours (Å) after each atom.
Positions (direct):
In 0.7500 0.7500 0.7500  12 Ag 3.20, 4 Pt 3.34
Ag 0.8754 0.3749 0.3749  6 Ag 2.72-2.73
Ag 0.3749 0.3749 0.8754  6 Ag 2.72-2.73
Ag 0.3749 0.8754 0.3749  6 Ag 2.72-2.73
Ag 0.3749 0.3749 0.3749  6 Ag 2.72-2.73
Pt 0.0000 0.0000 0.0000  12 Ag 3.19, 4 In 3.34

SG = No. 216
Formation enthalpy at 0 K = 1.104 eV/f.u.
Total moment = 0.000 μB per atom


# 4
Material: Pm4AgSn2
Method: DFT, GGA-PBE
State: optimized geometry

Cell: 4.7834 8.9799 8.1095 Å, 137.50 107.15 90.00°
With the nearest neighbours (Å) after each atom.
Positions (direct):
Pm 0.9168 0.2102 0.8336  1 Ag 3.00, 3 Sn 3.29-3.34
Pm 0.0832 0.7898 0.1664  1 Ag 3.00, 3 Sn 3.29-3.34
Pm 0.6876 0.2974 0.3751  2 Ag 3.05, 2 Sn 3.21
Pm 0.3124 0.7026 0.6249  2 Ag 3.05, 2 Sn 3.21
Ag 0.0000 0.0000 0.0000  6 Pm 3.00-3.05
Sn 0.6432 0.6268 0.2865  1 Sn 3.05, 5 Pm 3.21-3.34
Sn 0.3568 0.3732 0.7135  1 Sn 3.05, 5 Pm 3.21-3.34

SG = No. 12
Formation enthalpy at 0 K = -3.274 eV/f.u.
Total moment = 0.000 μB per atom


# 5
Material: Rb3Np2TeSe6
Method: DFT, GGA-PBE
State: optimized geometry

Cell: 7.7627 7.7627 8.1001 Å, 97.34 97.34 122.27°
With the nearest neighbours (Å) after each atom.
Positions (direct):
Rb 0.1460 0.8540 0.5000  6 Se 3.34-3.53
Rb 0.8540 0.1460 0.5000  6 Se 3.34-3.53
Rb 0.5000 0.5000 0.5000  6 Se 3.43-3.69
Np 0.3287 0.6713 0.0000  6 Se 2.82-2.97
Np 0.6713 0.3287 0.0000  6 Se 2.82-2.97
Te 0.0000 0.0000 0.0000  2 Se 2.86
Se 0.9376 0.5459 0.7891  2 Np 2.82-2.86
Se 0.7149 0.7149 0.1756  1 Te 2.86, 2 Np 2.97
Se 0.0624 0.4541 0.2109  2 Np 2.82-2.86
Se 0.5459 0.9376 0.7891  2 Np 2.82-2.86
Se 0.2851 0.2851 0.8244  1 Te 2.86, 2 Np 2.97
Se 0.4541 0.0624 0.2109  2 Np 2.82-2.86

Formation energy from raw total energies = -0.936 eV/atom
SG = No. 12
Total moment = 0.593 μB per atom


# 6
Material: ScS6Cl2
Method: DFT, GGA-PBE
State: optimized geometry

Cell: 3.8739 8.1075 8.7525 Å, 115.67 93.45 91.44°
With the nearest neighbours (Å) after each atom.
Positions (direct):
Sc 0.0000 0.0000 0.0000  4 Cl 2.53-2.59, 2 S 2.60
S 0.8873 0.5011 0.2718  2 S 1.99-2.08
S 0.1127 0.4989 0.7282  2 S 1.99-2.08
S 0.8790 0.7172 0.7066  1 S 2.08
S 0.8896 0.2739 0.5384  1 S 1.99
S 0.1104 0.7261 0.4616  1 S 1.99
S 0.1210 0.2828 0.2934  1 S 2.08
Cl 0.4971 0.8672 0.1026  2 Sc 2.53-2.59
Cl 0.5029 0.1328 0.8974  2 Sc 2.53-2.59

Formation energy from raw total energies = -0.580 eV/atom
SG = No. 2
Total moment = 0.054 μB per atom


# 7
Material: ZrTcTe
Method: DFT, GGA-PBE
State: optimized geometry

Cell: 4.5379 4.5379 3.3119 Å, 90.00 90.00 120.00°
With the nearest neighbours (Å) after each atom.
Positions (direct):
Tc 0.0000 0.0000 0.1557  3 Te 2.62
Te 0.3333 0.6667 0.1676  3 Tc 2.62
Zr 0.6667 0.3333 0.6766  6 Tc 3.06-3.14, 6 Te 3.08-3.12, 2 Zr 3.31

Offset from the most stable computed form = 0.0571 eV/atom
Formation energy from raw total energies = -0.209 eV/atom
SG = No. 156
Total moment = 0.000 μB per atom


# 8
Material: ScAg2PtN
Method: DFT, GGA-PBE
State: optimized geometry

Cell: 5.2132 3.7025 5.2132 Å, 90.00 90.00 90.00°
With the nearest neighbours (Å) after each atom.
Positions (direct):
Sc 0.0000 0.0000 0.0000  2 N 1.85
Ag 0.0000 0.0000 0.5000  2 Sc 2.61
Ag 0.5000 0.0000 0.0000  2 Sc 2.61
Pt 0.5000 0.5000 0.5000  8 Ag 3.20
N 0.0000 0.5000 0.0000  2 Sc 1.85

Formation energy from raw total energies = 0.821 eV/atom
SG = No. 123
Total moment = 0.000 μB per atom